i | Tb2Y7Tm after structural relaxation, computed with PBE.

Computed properties:
Its total magnetization is 0.0 μB per formula unit. The density of states at the Fermi level is 16.47 states/eV per cell.

Cell: 3.501 15.178 15.178 Å, 156.52 90.05 90.05°
Fractional positions:
1 Tb 0.500 0.808 0.192
2 Tb 0.500 0.192 0.808
3 Y 0.000 0.707 0.293
4 Y 0.000 0.293 0.707
5 Y 0.233 0.154 0.354
6 Y 0.767 0.846 0.646
7 Y 0.233 0.354 0.154
8 Y 0.767 0.646 0.846
9 Y 0.500 0.500 0.500
10 Tm 0.000 0.000 0.000

ii | Tb2Y7Tm after structural relaxation, computed with PBE.

Computed properties:
Its total magnetization is 0.0 μB per formula unit. The density of states at the Fermi level is 14.33 states/eV per cell.

Cell: 5.534 9.237 9.237 Å, 123.37 90.00 90.00°
Fractional positions:
1 Tb 0.500 0.704 0.296
2 Tb 0.500 0.296 0.704
3 Y 0.000 0.787 0.213
4 Y 0.000 0.213 0.787
5 Y 0.500 0.064 0.290
6 Y 0.500 0.936 0.710
7 Y 0.500 0.290 0.064
8 Y 0.500 0.710 0.936
9 Y 0.500 0.500 0.500
10 Tm 0.000 0.000 0.000

Quick one: least stable of them? ii

i | Tb5YTm5 after structural relaxation, computed with PBE.

Computed properties:
Its total magnetization is 0.0 μB per formula unit. The density of states at the Fermi level is 22.05 states/eV per cell.

Cell: 6.003 6.003 11.596 Å, 90.00 90.00 120.00°
Fractional positions:
1 Tb 0.667 0.333 0.155
2 Tb 0.667 0.333 0.845
3 Tb 0.333 0.667 0.317
4 Tb 0.333 0.667 0.683
5 Tb 0.000 0.000 0.000
6 Y 0.333 0.667 0.000
7 Tm 0.334 0.167 0.500
8 Tm 0.000 0.000 0.266
9 Tm 0.833 0.666 0.500
10 Tm 0.833 0.167 0.500
11 Tm 0.000 0.000 0.734

ii | Tb5YTm5 after structural relaxation, computed with PBE.

Computed properties:
Its total magnetization is 0.0 μB per formula unit. The density of states at the Fermi level is 16.49 states/eV per cell.

Cell: 6.929 9.421 8.102 Å, 115.36 53.08 121.51°
Fractional positions:
1 Tb 0.852 0.641 0.157
2 Tb 0.749 0.655 0.675
3 Tb 0.500 0.000 0.000
4 Tb 0.251 0.345 0.325
5 Tb 0.148 0.359 0.843
6 Y 0.000 0.000 0.000
7 Tm 0.677 0.281 0.354
8 Tm 0.663 0.315 0.791
9 Tm 0.000 0.000 0.500
10 Tm 0.337 0.685 0.209
11 Tm 0.323 0.719 0.646

Quick one: least stable of them? i

i | Tb2Y6Tm after structural relaxation, computed with PBE.

Computed properties:
Its total magnetization is 0.0 μB per formula unit. The density of states at the Fermi level is 23.76 states/eV per cell.

Cell: 6.543 9.595 9.595 Å, 96.32 80.74 80.74°
Fractional positions:
1 Tb 0.130 0.617 0.663
2 Tb 0.370 0.337 0.383
3 Tb 0.870 0.383 0.337
4 Tb 0.630 0.663 0.617
5 Y 0.505 0.649 0.277
6 Y 0.995 0.723 0.351
7 Y 0.495 0.351 0.723
8 Y 0.005 0.277 0.649
9 Y 0.725 0.062 0.458
10 Y 0.775 0.542 0.938
11 Y 0.275 0.938 0.542
12 Y 0.225 0.458 0.062
13 Y 0.310 0.777 0.953
14 Y 0.190 0.047 0.223
15 Y 0.690 0.223 0.047
16 Y 0.810 0.953 0.777
17 Tm 0.250 0.118 0.882
18 Tm 0.750 0.882 0.118

ii | Tb2Y6Tm after structural relaxation, computed with PBE.

Computed properties:
Its total magnetization is 0.0 μB per formula unit. The density of states at the Fermi level is 30.59 states/eV per cell.

Cell: 5.727 11.875 11.875 Å, 47.53 103.94 103.94°
Fractional positions:
1 Tb 0.033 0.668 0.832
2 Tb 0.467 0.168 0.332
3 Tb 0.967 0.332 0.168
4 Tb 0.533 0.832 0.668
5 Y 0.796 0.500 0.664
6 Y 0.704 0.336 0.500
7 Y 0.204 0.500 0.336
8 Y 0.296 0.664 0.500
9 Y 0.917 0.917 0.417
10 Y 0.583 0.583 0.083
11 Y 0.083 0.083 0.583
12 Y 0.417 0.417 0.917
13 Y 0.131 0.836 0.999
14 Y 0.369 0.001 0.164
15 Y 0.869 0.164 0.001
16 Y 0.631 0.999 0.836
17 Tm 0.250 0.250 0.750
18 Tm 0.750 0.750 0.250

Quick one: least stable of them? i

i | TbY7Tm4 after structural relaxation, computed with PBE.

Computed properties:
Its total magnetization is 0.0 μB per formula unit. The density of states at the Fermi level is 22.45 states/eV per cell.

Cell: 6.783 8.710 9.037 Å, 82.79 93.59 47.44°
Fractional positions:
1 Tb 0.000 0.000 0.000
2 Y 0.736 0.515 0.951
3 Y 0.264 0.485 0.049
4 Y 0.987 0.316 0.639
5 Y 0.013 0.684 0.361
6 Y 0.298 0.809 0.613
7 Y 0.500 0.000 0.000
8 Y 0.702 0.191 0.387
9 Tm 0.548 0.643 0.285
10 Tm 0.452 0.357 0.715
11 Tm 0.777 0.839 0.689
12 Tm 0.223 0.161 0.311

ii | TbY7Tm4 after structural relaxation, computed with PBE.

Computed properties:
Its total magnetization is 0.5 μB per formula unit. The density of states at the Fermi level is 20.83 states/eV per cell.

Cell: 5.843 9.546 8.498 Å, 62.00 69.89 72.18°
Fractional positions:
1 Tb 0.000 0.000 0.000
2 Y 0.786 0.880 0.548
3 Y 0.214 0.120 0.452
4 Y 0.082 0.556 0.279
5 Y 0.918 0.444 0.721
6 Y 0.212 0.762 0.814
7 Y 0.500 0.000 0.000
8 Y 0.788 0.238 0.186
9 Tm 0.571 0.301 0.557
10 Tm 0.429 0.699 0.443
11 Tm 0.671 0.617 0.041
12 Tm 0.329 0.383 0.959

Quick one: least stable of them? ii

i | TbY2Tm2 after structural relaxation, computed with PBE.

Computed properties:
Its total magnetization is 0.0 μB per formula unit. The density of states at the Fermi level is 8.99 states/eV per cell.

Cell: 9.290 9.290 3.692 Å, 90.00 90.00 90.00°
Fractional positions:
1 Tb 0.000 0.000 0.000
2 Tb 0.500 0.500 0.000
3 Y 0.327 0.827 0.500
4 Y 0.827 0.673 0.500
5 Y 0.673 0.173 0.500
6 Y 0.173 0.327 0.500
7 Tm 0.125 0.625 0.000
8 Tm 0.625 0.875 0.000
9 Tm 0.875 0.375 0.000
10 Tm 0.375 0.125 0.000

ii | TbY2Tm2 after structural relaxation, computed with PBE.

Computed properties:
Its total magnetization is 0.0 μB per formula unit. The density of states at the Fermi level is 27.05 states/eV per cell.

Cell: 6.120 7.074 15.000 Å, 90.00 105.85 90.00°
Fractional positions:
1 Tb 0.450 0.375 0.301
2 Tb 0.550 0.625 0.699
3 Tb 0.950 0.125 0.301
4 Tb 0.050 0.875 0.699
5 Y 0.650 0.375 0.100
6 Y 0.150 0.125 0.100
7 Y 0.850 0.875 0.900
8 Y 0.350 0.625 0.900
9 Y 0.951 0.625 0.301
10 Y 0.451 0.875 0.301
11 Y 0.549 0.125 0.699
12 Y 0.049 0.375 0.699
13 Tm 0.650 0.875 0.100
14 Tm 0.150 0.625 0.100
15 Tm 0.850 0.375 0.900
16 Tm 0.350 0.125 0.900
17 Tm 0.749 0.625 0.500
18 Tm 0.249 0.875 0.500
19 Tm 0.751 0.125 0.500
20 Tm 0.251 0.375 0.500

Quick one: least stable of them? i

i | Tb5Y3Tm after structural relaxation, computed with PBE.

Computed properties:
Its total magnetization is 0.0 μB per formula unit. The density of states at the Fermi level is 26.04 states/eV per cell.

Cell: 9.492 9.492 11.598 Å, 52.93 52.93 74.13°
Fractional positions:
1 Tb 0.847 0.343 0.249
2 Tb 0.256 0.744 0.000
3 Tb 0.816 0.816 0.962
4 Tb 0.489 0.489 0.235
5 Tb 0.511 0.511 0.765
6 Tb 0.184 0.184 0.038
7 Tb 0.343 0.847 0.249
8 Tb 0.744 0.256 0.000
9 Tb 0.153 0.657 0.751
10 Tb 0.657 0.153 0.751
11 Y 0.690 0.690 0.821
12 Y 0.660 0.660 0.360
13 Y 0.000 0.000 0.000
14 Y 0.000 0.000 0.500
15 Y 0.310 0.310 0.179
16 Y 0.340 0.340 0.640
17 Tm 0.148 0.148 0.600
18 Tm 0.852 0.852 0.400

ii | Tb5Y3Tm after structural relaxation, computed with PBE.

Computed properties:
Its total magnetization is 0.0 μB per formula unit. The density of states at the Fermi level is 26.43 states/eV per cell.

Cell: 6.674 12.404 11.680 Å, 137.47 90.00 105.61°
Fractional positions:
1 Tb 0.310 0.000 0.750
2 Tb 0.759 0.635 0.083
3 Tb 0.916 0.428 0.164
4 Tb 0.241 0.365 0.917
5 Tb 0.488 0.572 0.336
6 Tb 0.690 0.000 0.250
7 Tb 0.876 0.635 0.583
8 Tb 0.124 0.365 0.417
9 Tb 0.512 0.428 0.664
10 Tb 0.084 0.572 0.836
11 Y 0.000 0.000 0.000
12 Y 0.556 0.218 0.203
13 Y 0.000 0.000 0.500
14 Y 0.444 0.782 0.797
15 Y 0.662 0.218 0.703
16 Y 0.338 0.782 0.297
17 Tm 0.800 0.000 0.750
18 Tm 0.200 0.000 0.250

Quick one: least stable of them? i

i | Tb3Y4Tm4 after structural relaxation, computed with PBE.

Computed properties:
Its total magnetization is 0.0 μB per formula unit. The density of states at the Fermi level is 20.11 states/eV per cell.

Cell: 3.475 5.596 18.060 Å, 81.06 84.46 89.99°
Fractional positions:
1 Tb 0.137 0.637 0.727
2 Tb 0.863 0.363 0.273
3 Tb 0.000 0.000 0.000
4 Y 0.590 0.091 0.819
5 Y 0.267 0.267 0.466
6 Y 0.733 0.733 0.534
7 Y 0.410 0.909 0.181
8 Tm 0.546 0.546 0.909
9 Tm 0.454 0.454 0.091
10 Tm 0.319 0.819 0.361
11 Tm 0.681 0.181 0.639

ii | Tb3Y4Tm4 after structural relaxation, computed with PBE.

Computed properties:
Its total magnetization is 0.0 μB per formula unit. The density of states at the Fermi level is 13.93 states/eV per cell.

Cell: 3.538 4.998 19.717 Å, 97.28 95.15 89.98°
Fractional positions:
1 Tb 0.637 0.636 0.273
2 Tb 0.363 0.364 0.727
3 Tb 0.000 0.000 0.000
4 Y 0.546 0.545 0.092
5 Y 0.454 0.455 0.908
6 Y 0.818 0.818 0.635
7 Y 0.182 0.182 0.365
8 Tm 0.092 0.091 0.183
9 Tm 0.272 0.272 0.545
10 Tm 0.728 0.728 0.455
11 Tm 0.908 0.909 0.817

Quick one: least stable of them? i

i | Tb2Y5Tm4 after structural relaxation, computed with PBE.

Computed properties:
Its total magnetization is 0.0 μB per formula unit. The density of states at the Fermi level is 16.51 states/eV per cell.

Cell: 3.486 8.987 12.484 Å, 111.10 98.02 90.00°
Fractional positions:
1 Tb 0.269 0.269 0.538
2 Tb 0.731 0.731 0.462
3 Y 0.856 0.054 0.712
4 Y 0.856 0.658 0.712
5 Y 0.144 0.342 0.288
6 Y 0.144 0.946 0.288
7 Y 0.500 0.000 0.000
8 Tm 0.000 0.313 0.000
9 Tm 0.596 0.596 0.193
10 Tm 0.000 0.687 0.000
11 Tm 0.404 0.404 0.807

ii | Tb2Y5Tm4 after structural relaxation, computed with PBE.

Computed properties:
Its total magnetization is 0.0 μB per formula unit. The density of states at the Fermi level is 20.08 states/eV per cell.

Cell: 5.630 9.317 24.448 Å, 162.73 96.61 90.00°
Fractional positions:
1 Tb 0.413 0.225 0.826
2 Tb 0.587 0.775 0.174
3 Y 0.841 0.108 0.682
4 Y 0.159 0.892 0.318
5 Y 0.792 0.498 0.585
6 Y 0.500 0.000 0.000
7 Y 0.208 0.502 0.415
8 Tm 0.315 0.375 0.630
9 Tm 0.948 0.984 0.895
10 Tm 0.685 0.625 0.370
11 Tm 0.052 0.016 0.105

Quick one: least stable of them? i